[1]
3
Lattice="-3.269 0.081 3.473 -1.353 -0.594 -4.535 0.528 -6.077 0.639" Properties=species:S:1:pos:R:3 comment="PBE CsZnBi, optimized geometry" space_group=P-6m2 dft_energy_ha_per_atom=-0.0866 vol_a3_per_atom=40.28 pbc="T T T"
Zn -1.551 -5.432 -1.334
Bi 0.440 -5.065 0.532
Cs -2.454 -2.170 1.016

[2]
8
Lattice="-1.991 -3.739 -0.963 2.646 0.229 3.437 -7.089 2.411 5.296" Properties=species:S:1:pos:R:3 comment="PBE HoAlPdPt, optimized geometry" e_above_lowest_polymorph_mev_per_atom=0 space_group=P6_3mc magnetic_moment_mub_per_atom=0.00 dft_energy_ha_per_atom=-0.2200 vol_a3_per_atom=18.73 pbc="T T T"
Pt -4.555 -1.018 3.574
Pt 0.535 -0.901 2.393
Al -0.053 0.018 0.039
Al -3.597 1.224 2.688
Pd -1.842 -0.093 4.169
Pd -6.932 -0.210 5.350
Ho -4.201 0.710 5.931
Ho -2.202 -1.819 1.816

[3]
6
Lattice="-2.252 3.853 3.596 2.252 -3.853 3.596 2.252 3.853 -3.596" Properties=species:S:1:pos:R:3 comment="PBE PrZnCu, optimized geometry" space_group=Ima2 magnetic_moment_mub_per_atom=0.00 dft_energy_ha_per_atom=-0.1292 vol_a3_per_atom=20.80 pbc="T T T"
Zn -1.126 3.193 2.137
Zn 1.126 4.513 2.137
Pr 1.126 1.673 3.591
Pr 1.126 2.179 -0.004
Cu 1.126 -0.644 1.463
Cu 3.378 0.644 1.463

[4]
6
Lattice="-1.611 1.279 4.120 -1.578 -3.837 -2.000 4.352 -3.193 2.692" Properties=species:S:1:pos:R:3 comment="PBE HfCoBi, optimized geometry" space_group=P6_3/mmc magnetic_moment_mub_per_atom=0.16 dft_energy_ha_per_atom=-0.2577 vol_a3_per_atom=18.47 pbc="T T T"
Co -0.512 -1.225 2.754
Co 1.675 -4.526 2.060
Bi -0.501 -2.930 0.714
Bi 1.664 -2.821 4.100
Hf 0.000 0.000 0.000
Hf 2.176 -1.597 1.346

[5]
3
Lattice="0.000 3.629 3.629 3.629 0.000 3.629 3.629 3.629 0.000" Properties=species:S:1:pos:R:3 comment="PBE RbLiTc, optimized geometry" e_above_lowest_polymorph_mev_per_atom=0 space_group=F-43m magnetic_moment_mub_per_atom=1.06 dft_energy_ha_per_atom=-0.1019 vol_a3_per_atom=31.87 pbc="T T T"
Rb 1.815 1.815 1.815
Li 0.000 0.000 0.000
Tc 5.444 5.444 5.444

[6]
9
Lattice="-1.242 1.575 3.536 6.750 0.281 2.245 -2.849 5.530 -3.463" Properties=species:S:1:pos:R:3 comment="PBE DyTm2Al3NiAu2, optimized geometry" space_group=Amm2 magnetic_moment_mub_per_atom=0.00 dft_energy_ha_per_atom=-0.1788 vol_a3_per_atom=19.80 pbc="T T T"
Ni 0.012 0.018 -0.004
Tm 5.611 2.489 0.862
Tm -0.152 5.640 -2.566
Al -2.825 5.072 -0.914
Al 0.262 2.103 1.492
Al 4.608 1.008 3.506
Au 2.947 2.801 2.124
Au -0.295 4.574 0.196
Dy 2.334 3.475 -0.728

[7]
4
Lattice="0.000 3.291 3.291 3.291 0.000 3.291 3.291 3.291 0.000" Properties=species:S:1:pos:R:3 comment="PBE ZrIrAu2, optimized geometry" space_group=F-43m magnetic_moment_mub_per_atom=0.00 dft_energy_ha_per_atom=-0.2314 vol_a3_per_atom=17.82 pbc="T T T"
Ir 1.646 1.646 1.646
Au 0.000 0.000 0.000
Au 4.937 4.937 4.937
Zr 3.291 3.291 3.291